[1]
{"formula": "CaOsBr2", "functional": "PBE-GGA", "state": "relaxed", "spacegroup": "R-3m, No. 166", "dos_ef_per_ev_atom": 0.675, "formation_energy_uncorrected_kj_per_mol_atoms": 33, "final_energy_ev_per_atom": -3.80, "m_tot_mub_per_atom": 0.764, "e_above_lowest_polymorph_kj_per_mol_atoms": 55.3, "lattice": [[1.808, 1.044, 10.881], [-1.808, 1.044, 10.881], [0.000, -2.087, 10.881]], "species": ["Ca", "Os", "Br", "Br"], "frac_coords": [[0.000, 0.000, 0.000], [0.500, 0.500, 0.500], [0.276, 0.276, 0.276], [0.724, 0.724, 0.724]]}

***

[2]
{"formula": "Mg8Bi3Pt2", "functional": "PBE-GGA", "state": "relaxed", "formation_enthalpy_0k_kj_per_mol_atoms": -37.1, "spacegroup": "Cmmm, No. 65", "dos_ef_per_ev_atom": 0.324, "final_energy_ev_per_atom": -3.19, "m_tot_mub_per_atom": 0.000, "lattice": [[4.524, -7.597, 0.000], [4.524, 7.597, 0.000], [0.000, 0.000, 4.597]], "species": ["Mg", "Mg", "Mg", "Mg", "Mg", "Mg", "Mg", "Mg", "Bi", "Bi", "Bi", "Pt", "Pt"], "frac_coords": [[0.111, 0.416, 0.500], [0.148, 0.852, 0.000], [0.338, 0.662, 0.000], [0.416, 0.111, 0.500], [0.584, 0.889, 0.500], [0.662, 0.338, 0.000], [0.852, 0.148, 0.000], [0.889, 0.584, 0.500], [0.000, 0.000, 0.500], [0.286, 0.286, 0.000], [0.714, 0.714, 0.000], [0.241, 0.759, 0.500], [0.759, 0.241, 0.500]]}

***

[3]
{"formula": "ScPbBr2", "functional": "PBE-GGA", "state": "relaxed", "spacegroup": "R-3m, No. 166", "dos_ef_per_ev_atom": 0.563, "formation_energy_uncorrected_kj_per_mol_atoms": -94, "final_energy_ev_per_atom": -4.33, "m_tot_mub_per_atom": 0.000, "e_above_lowest_polymorph_kj_per_mol_atoms": 0.3, "lattice": [[1.796, 1.037, 10.839], [-1.796, 1.037, 10.839], [0.000, -2.074, 10.839]], "species": ["Sc", "Pb", "Br", "Br"], "frac_coords": [[0.000, 0.000, 0.000], [0.500, 0.500, 0.500], [0.387, 0.387, 0.387], [0.613, 0.613, 0.613]]}

***

[4]
{"formula": "ZnCu3B", "functional": "PBE-GGA", "state": "relaxed", "formation_enthalpy_0k_kj_per_mol_atoms": 20.8, "spacegroup": "Pm-3m, No. 221", "dos_ef_per_ev_atom": 0.300, "final_energy_ev_per_atom": -3.83, "m_tot_mub_per_atom": 0.000, "e_above_lowest_polymorph_kj_per_mol_atoms": 0.0, "lattice": [[3.949, 0.000, 0.000], [0.000, 3.949, 0.000], [0.000, 0.000, 3.949]], "species": ["Zn", "Cu", "Cu", "Cu", "B"], "frac_coords": [[0.000, 0.000, 0.000], [0.000, 0.500, 0.500], [0.500, 0.000, 0.500], [0.500, 0.500, 0.000], [0.500, 0.500, 0.500]]}

***

[5]
{"formula": "Ba4GeO2", "functional": "PBE-GGA", "state": "relaxed", "spacegroup": "Cmcm, No. 63", "dos_ef_per_ev_atom": 0.207, "formation_energy_uncorrected_kj_per_mol_atoms": -146, "final_energy_ev_per_atom": -4.69, "m_tot_mub_per_atom": 0.000, "lattice": [[2.127, -6.879, 0.000], [2.127, 6.879, 0.000], [0.000, 0.000, 14.019]], "species": ["Ba", "Ba", "Ba", "Ba", "Ba", "Ba", "Ba", "Ba", "Ge", "Ge", "O", "O", "O", "O"], "frac_coords": [[0.000, 0.000, 0.000], [0.000, 0.000, 0.500], [0.271, 0.729, 0.606], [0.271, 0.729, 0.894], [0.428, 0.572, 0.250], [0.572, 0.428, 0.750], [0.729, 0.271, 0.106], [0.729, 0.271, 0.394], [0.106, 0.894, 0.250], [0.894, 0.106, 0.750], [0.366, 0.634, 0.054], [0.366, 0.634, 0.446], [0.634, 0.366, 0.554], [0.634, 0.366, 0.946]]}

***

[6]
{"formula": "LaAs2Ru", "functional": "PBE-GGA", "state": "relaxed", "formation_enthalpy_0k_kj_per_mol_atoms": -23.9, "spacegroup": "P4/mmm, No. 123", "dos_ef_per_ev_atom": 1.170, "final_energy_ev_per_atom": -6.12, "m_tot_mub_per_atom": 0.000, "e_above_lowest_polymorph_kj_per_mol_atoms": 63.8, "lattice": [[4.395, 0.000, 0.000], [0.000, 4.395, 0.000], [0.000, 0.000, 4.183]], "species": ["La", "As", "As", "Ru"], "frac_coords": [[0.000, 0.000, 0.000], [0.000, 0.500, 0.500], [0.500, 0.000, 0.500], [0.500, 0.500, 0.000]]}

***

What did the fifth record say?
{"formula": "Ba4GeO2", "functional": "PBE-GGA", "state": "relaxed", "spacegroup": "Cmcm, No. 63", "dos_ef_per_ev_atom": 0.207, "formation_energy_uncorrected_kj_per_mol_atoms": -146, "final_energy_ev_per_atom": -4.69, "m_tot_mub_per_atom": 0.000, "lattice": [[2.127, -6.879, 0.000], [2.127, 6.879, 0.000], [0.000, 0.000, 14.019]], "species": ["Ba", "Ba", "Ba", "Ba", "Ba", "Ba", "Ba", "Ba", "Ge", "Ge", "O", "O", "O", "O"], "frac_coords": [[0.000, 0.000, 0.000], [0.000, 0.000, 0.500], [0.271, 0.729, 0.606], [0.271, 0.729, 0.894], [0.428, 0.572, 0.250], [0.572, 0.428, 0.750], [0.729, 0.271, 0.106], [0.729, 0.271, 0.394], [0.106, 0.894, 0.250], [0.894, 0.106, 0.750], [0.366, 0.634, 0.054], [0.366, 0.634, 0.446], [0.634, 0.366, 0.554], [0.634, 0.366, 0.946]]}